DFT (PBE+U) results for Li7Mn2Co3O12 after structural relaxation.

Computed properties:
symmetry	P1, No. 1
E above lowest polymorph	0.013	eV/atom
E	-0.4325	Ry/atom
theoretical density	4.164	g/cm³

Cell lengths 5.1098, 5.8653, 7.5913 Å; angles 101.03, 96.34, 106.93 degrees
Closest atoms and distances in Å follow each position.
Sites, in units of the cell vectors:
Li (0.5044, 0.0823, 0.8347)  6 O 2.02-2.17
O (0.7709, 0.7271, 0.0869)  1 Mn 1.95, 2 Co 1.97-2.07, 2 Li 2.10-2.12
Co (0.0078, 0.5030, 0.0161)  2 O 1.85-2.00
O (0.2223, 0.9618, 0.5746)  2 Co 1.94-2.07, 1 Mn 1.95, 2 Li 2.09-2.17
O (0.2339, 0.4431, 0.5966)  1 Mn 1.90, 3 Li 2.00-2.10, 1 Co 2.00
Co (0.9938, 0.6539, 0.6524)  5 O 1.87-2.07
O (0.2270, 0.6372, 0.2444)  2 Co 1.85-1.97, 1 Li 2.06
O (0.7703, 0.2002, 0.0758)  1 Mn 1.92, 1 Co 2.00, 3 Li 2.02-2.08
O (0.7708, 0.5656, 0.4218)  2 Co 1.87-1.97, 2 Li 2.04-2.05
Li (0.4936, 0.2502, 0.4933)  6 O 2.09-2.21
O (0.7790, 0.3672, 0.7492)  1 Mn 1.94, 2 Co 2.04-2.10, 2 Li 2.11-2.16
Co (0.9981, 0.8378, 0.3324)  6 O 1.94-1.97
Li (0.4947, 0.7466, 0.4910)  6 O 2.05-2.23
O (0.7788, 0.0383, 0.4289)  1 Mn 1.88, 1 Co 1.95, 2 Li 2.07
Li (0.0006, 0.3306, 0.3335)  6 O 2.05-2.12
Mn (0.9985, 0.0024, 0.0042)  6 O 1.90-1.97
Li (0.5095, 0.4113, 0.1769)  6 O 2.04-2.26
Li (0.5047, 0.9269, 0.1719)  6 O 2.05-2.21
O (0.2145, 0.7927, 0.9081)  1 Mn 1.97, 2 Co 2.02-2.09, 2 Li 2.11-2.19
O (0.2264, 0.2728, 0.9151)  2 Mn 1.96-2.01, 1 Co 2.08, 2 Li 2.12-2.18
O (0.7762, 0.8915, 0.7567)  2 Mn 1.97-2.00, 3 Li 2.09-2.20, 1 Co 2.12
O (0.2252, 0.1038, 0.2388)  1 Mn 1.90, 1 Co 1.96, 3 Li 2.05-2.11
Mn (0.0014, 0.1662, 0.6621)  6 O 1.88-2.01
Li (0.4977, 0.5876, 0.8347)  5 O 2.00-2.20